No. 1
This record from the Alexandria database describes an optimized crystal structure of CaOs2Se. The functional is PBE-GGA.

The structure in CIF format:
```
data_CaOs2Se
_symmetry_space_group_name_H-M 'P 1'
_symmetry_Int_Tables_number 1
_cell_length_a 4.779
_cell_length_b 4.779
_cell_length_c 4.779
_cell_angle_alpha 125.65
_cell_angle_beta 125.65
_cell_angle_gamma 80.46
loop_
_symmetry_equiv_pos_as_xyz
'x,y,z'
loop_
_atom_site_label
_atom_site_type_symbol
_atom_site_fract_x
_atom_site_fract_y
_atom_site_fract_z
Ca1 Ca 0.000 0.000 0.000
Os1 Os 0.250 0.750 0.500
Os2 Os 0.500 0.500 0.000
Se1 Se 0.750 0.250 0.500
```

Summary:
crystal system	tetragonal
space group	I-4m2


No. 2
This record from the Alexandria database describes an optimized crystal structure of YZn3Ga2. The functional is PBE-GGA.

The structure in CIF format:
```
data_YZn3Ga2
_symmetry_space_group_name_H-M 'P 1'
_symmetry_Int_Tables_number 1
_cell_length_a 8.003
_cell_length_b 8.003
_cell_length_c 7.562
_cell_angle_alpha 118.15
_cell_angle_beta 118.15
_cell_angle_gamma 31.54
loop_
_symmetry_equiv_pos_as_xyz
'x,y,z'
loop_
_atom_site_label
_atom_site_type_symbol
_atom_site_fract_x
_atom_site_fract_y
_atom_site_fract_z
Y1 Y 0.134 0.134 0.133
Y2 Y 0.866 0.866 0.867
Zn1 Zn 0.000 0.000 0.338
Zn2 Zn 0.000 0.000 0.662
Zn3 Zn 0.325 0.325 0.531
Zn4 Zn 0.326 0.326 0.121
Zn5 Zn 0.674 0.674 0.879
Zn6 Zn 0.675 0.675 0.469
Ga1 Ga 0.186 0.186 0.686
Ga2 Ga 0.500 0.500 0.164
Ga3 Ga 0.500 0.500 0.836
Ga4 Ga 0.814 0.814 0.314
```

Summary:
energy relative to the lowest polymorph listed for this composition	13	meV per atom
crystal system	monoclinic
energy of formation from the pure elements	-311	meV per atom
space group	C2/m


No. 3
This record from the Alexandria database describes an optimized crystal structure of Nd3Y2Er6Zr. The functional is PBE-GGA.

The structure in CIF format:
```
data_Nd3Y2Er6Zr
_symmetry_space_group_name_H-M 'P 1'
_symmetry_Int_Tables_number 1
_cell_length_a 6.124
_cell_length_b 6.124
_cell_length_c 11.644
_cell_angle_alpha 95.02
_cell_angle_beta 95.02
_cell_angle_gamma 119.95
loop_
_symmetry_equiv_pos_as_xyz
'x,y,z'
loop_
_atom_site_label
_atom_site_type_symbol
_atom_site_fract_x
_atom_site_fract_y
_atom_site_fract_z
Nd1 Nd 0.000 0.000 0.000
Nd2 Nd 0.334 0.666 0.000
Nd3 Nd 0.666 0.334 0.000
Y1 Y 0.167 0.833 0.500
Y2 Y 0.833 0.167 0.500
Er1 Er 0.094 0.420 0.258
Er2 Er 0.255 0.255 0.742
Er3 Er 0.420 0.094 0.258
Er4 Er 0.580 0.906 0.742
Er5 Er 0.745 0.745 0.258
Er6 Er 0.906 0.580 0.742
Zr1 Zr 0.500 0.500 0.500
```

Summary:
crystal system	monoclinic
energy of formation from the pure elements	46	meV per atom
space group	C2/m


No. 4
This record from the Alexandria database describes an optimized crystal structure of Cu2ReSb. The functional is PBE-GGA.

The structure in CIF format:
```
data_Cu2ReSb
_symmetry_space_group_name_H-M 'P 1'
_symmetry_Int_Tables_number 1
_cell_length_a 4.819
_cell_length_b 4.819
_cell_length_c 2.874
_cell_angle_alpha 90.00
_cell_angle_beta 90.00
_cell_angle_gamma 112.25
loop_
_symmetry_equiv_pos_as_xyz
'x,y,z'
loop_
_atom_site_label
_atom_site_type_symbol
_atom_site_fract_x
_atom_site_fract_y
_atom_site_fract_z
Cu1 Cu 0.000 0.500 0.000
Cu2 Cu 0.500 0.000 0.000
Re1 Re 0.000 0.000 0.500
Sb1 Sb 0.500 0.500 0.500
```

Summary:
crystal system	orthorhombic
space group	Cmmm


No. 5
This record from the Alexandria database describes an optimized crystal structure of Pa2In3Cu3. The functional is PBE-GGA.

The structure in CIF format:
```
data_Pa2In3Cu3
_symmetry_space_group_name_H-M 'P 1'
_symmetry_Int_Tables_number 1
_cell_length_a 8.103
_cell_length_b 8.103
_cell_length_c 6.093
_cell_angle_alpha 90.00
_cell_angle_beta 90.00
_cell_angle_gamma 120.00
loop_
_symmetry_equiv_pos_as_xyz
'x,y,z'
loop_
_atom_site_label
_atom_site_type_symbol
_atom_site_fract_x
_atom_site_fract_y
_atom_site_fract_z
Pa1 Pa 0.333 0.667 0.000
Pa2 Pa 0.333 0.667 0.500
Pa3 Pa 0.667 0.333 0.000
Pa4 Pa 0.667 0.333 0.500
In1 In 0.000 0.279 0.250
In2 In 0.000 0.721 0.750
In3 In 0.279 0.000 0.250
In4 In 0.279 0.279 0.750
In5 In 0.721 0.000 0.750
In6 In 0.721 0.721 0.250
Cu1 Cu 0.000 0.362 0.750
Cu2 Cu 0.000 0.638 0.250
Cu3 Cu 0.362 0.000 0.750
Cu4 Cu 0.362 0.362 0.250
Cu5 Cu 0.638 0.000 0.250
Cu6 Cu 0.638 0.638 0.750
```

Summary:
crystal system	hexagonal
energy of formation from the pure elements	24	meV per atom
space group	P6_3/mcm


No. 6
This record from the Alexandria database describes an optimized crystal structure of Y2ZrRu. The functional is PBE-GGA.

The structure in CIF format:
```
data_Y2ZrRu
_symmetry_space_group_name_H-M 'P 1'
_symmetry_Int_Tables_number 1
_cell_length_a 3.666
_cell_length_b 4.963
_cell_length_c 4.995
_cell_angle_alpha 90.00
_cell_angle_beta 90.00
_cell_angle_gamma 90.00
loop_
_symmetry_equiv_pos_as_xyz
'x,y,z'
loop_
_atom_site_label
_atom_site_type_symbol
_atom_site_fract_x
_atom_site_fract_y
_atom_site_fract_z
Y1 Y 0.000 0.000 0.000
Y2 Y 0.500 0.000 0.500
Zr1 Zr 0.000 0.500 0.500
Ru1 Ru 0.500 0.500 0.000
```

Summary:
energy relative to the lowest polymorph listed for this composition	356	meV per atom
crystal system	orthorhombic
energy of formation from the pure elements	116	meV per atom
space group	Pmmm


| no. | electronic total energy (eV per cell) |
| --- | --- |
| 1 | -25.2 |
| 2 | -36.4 |
| 3 | -62.6 |
| 4 | -22.8 |
| 5 | -78.6 |
| 6 | -30.3 |